Below is an optimized crystal structure of Cs3MgSn2Cl9, with properties calculated at the PBE-GGA level.

The value obtained for the total moment is 0.00 Bohr magnetons per cell. The final energy comes out at -52.85 eV/cell. The formation energy without anion corrections is -24.07 eV per formula unit. Its density of states at the Fermi level is 0.0000 states/eV/atom.

It has space group P-3m1 (No. 164), with a = 7.7180 Å, b = 7.7180 Å, c = 9.4590 Å, α = 90.00°, β = 90.00° and γ = 120.00°. The asymmetric unit holds Cs at (0.0000, 0.0000, 0.0000), Cs at (0.3333, 0.6667, 0.6605), Mg at (0.0000, 0.0000, 0.5000), Sn at (0.3333, 0.6667, 0.1781), Cl at (0.0000, 0.5000, 0.0000) and Cl at (0.1556, 0.3112, 0.3450).